[1]
{"formula": "Ce2PrTaN4", "functional": "GGA-PBE", "state": "optimized geometry", "cell": [[-2.8160, 0.2988, -1.9873], [1.8659, -6.0165, -0.5374], [-7.1690, -3.0891, 9.6941]], "species": ["Ce", "Ce", "Ce", "Ce", "Pr", "Pr", "Ta", "Ta", "N", "N", "N", "N", "N", "N", "N", "N"], "fractional_positions": [[0.3680, 0.7361, 0.5349], [0.6320, 0.2639, 0.0349], [0.6320, 0.2639, 0.4651], [0.3680, 0.7361, 0.9651], [0.1070, 0.2140, 0.7500], [0.8930, 0.7860, 0.2500], [0.8424, 0.6847, 0.7500], [0.1576, 0.3153, 0.2500], [0.2638, 0.5276, 0.1302], [0.7362, 0.4724, 0.6302], [0.7362, 0.4724, 0.8698], [0.2638, 0.5276, 0.3698], [0.0000, 0.0000, 0.5000], [0.0000, 0.0000, 0.0000], [0.4390, 0.8780, 0.7500], [0.5610, 0.1220, 0.2500]], "dos_at_fermi_per_ev_cell": 17.7, "total_energy_ev_per_cell": -142.3, "vol_a3_per_atom": 16.4}


[2]
{"formula": "Sr3CdGe2O8", "functional": "GGA-PBE", "state": "optimized geometry", "cell": [[5.8113, 0.0000, 0.0000], [-2.9056, 5.0327, 0.0000], [0.0000, 0.0000, 7.2756]], "species": ["Sr", "Sr", "Sr", "Cd", "Ge", "Ge", "O", "O", "O", "O", "O", "O", "O", "O"], "fractional_positions": [[0.3333, 0.6667, 0.6528], [0.6667, 0.3333, 0.3472], [0.0000, 0.0000, 0.0000], [0.0000, 0.0000, 0.5000], [0.3333, 0.6667, 0.2022], [0.6667, 0.3333, 0.7978], [0.3333, 0.6667, 0.9651], [0.6667, 0.3333, 0.0349], [0.1710, 0.8290, 0.2988], [0.8290, 0.1710, 0.7012], [0.1710, 0.3420, 0.2988], [0.8290, 0.6580, 0.7012], [0.6580, 0.8290, 0.2988], [0.3420, 0.1710, 0.7012]], "dos_at_fermi_per_ev_cell": 0.0, "total_energy_ev_per_cell": -85.1, "vol_a3_per_atom": 15.2}


[3]
{"formula": "HoEr2Cu9", "functional": "GGA-PBE", "state": "optimized geometry", "cell": [[-1.3397, 0.2590, 4.9423], [1.0104, -3.9259, 3.1391], [7.2627, 2.1325, 4.5165]], "species": ["Ho", "Er", "Er", "Cu", "Cu", "Cu", "Cu", "Cu", "Cu", "Cu", "Cu", "Cu"], "fractional_positions": [[0.0000, 0.0000, 0.0000], [0.8591, 0.8591, 0.4227], [0.1409, 0.1409, 0.5773], [0.6675, 0.6675, 0.9976], [0.3325, 0.3325, 0.0024], [0.5000, 0.5000, 0.5000], [0.4175, 0.4175, 0.2467], [0.9182, 0.4175, 0.2467], [0.4175, 0.9182, 0.2467], [0.5825, 0.5825, 0.7533], [0.5825, 0.0818, 0.7533], [0.0818, 0.5825, 0.7533]], "dos_at_fermi_per_ev_cell": 8.0, "vol_a3_per_atom": 15.8, "ef_ev_per_atom": -0.2147}


[4]
{"formula": "AcPuIn6", "functional": "GGA-PBE", "state": "optimized geometry", "cell": [[4.7949, 0.0000, 0.0000], [0.0000, 4.7949, 0.0000], [0.0000, 0.0000, 9.5724]], "species": ["Ac", "Pu", "In", "In", "In", "In", "In", "In"], "fractional_positions": [[0.0000, 0.0000, 0.0000], [0.0000, 0.0000, 0.5000], [0.5000, 0.5000, 0.0000], [0.5000, 0.5000, 0.5000], [0.5000, 0.0000, 0.2641], [0.5000, 0.0000, 0.7359], [0.0000, 0.5000, 0.2641], [0.0000, 0.5000, 0.7359]], "dos_at_fermi_per_ev_cell": 15.1, "vol_a3_per_atom": 27.5, "ef_ev_per_atom": -0.2982}